# SrV2O6

A geometry-optimized SrV2O6 structure (GGA+U, Alexandria).

The structure in CIF format:
```
data_SrV2O6
_chemical_formula_sum 'Sr4 V8 O24'
_cell_length_a 9.828
_cell_length_b 3.713
_cell_length_c 12.974
_cell_angle_alpha 90.00
_cell_angle_beta 90.00
_cell_angle_gamma 90.00
_space_group_name_H-M_alt 'P n m a'
_space_group_IT_number 62
_space_group_name_Hall '-P 2ac 2n'
loop_
_atom_site_label
_atom_site_fract_x
_atom_site_fract_y
_atom_site_fract_z
Sr1 0.135 0.250 0.115
V1 0.001 0.250 0.636
V2 0.242 0.250 0.404
O1 0.027 0.750 0.236
O2 0.035 0.250 0.399
O3 0.109 0.750 0.975
O4 0.170 0.250 0.609
O5 0.190 0.750 0.428
O6 0.217 0.750 0.782
```

Properties
VASP energy: -264.724 eV/cell